{
  "formula": "SmMgSi2Pt5",
  "functional": "GGA-PBE",
  "state": "optimized geometry",
  "lattice_angstrom": [[4.067, 0.000, 0.000], [0.000, 4.067, 0.000], [0.000, 0.000, 10.700]],
  "species": ["Pt", "Pt", "Pt", "Pt", "Pt", "Si", "Si", "Mg", "Sm"],
  "frac_coords": [[0.500, 0.500, 0.500], [0.500, 0.000, 0.170], [0.000, 0.500, 0.170], [0.500, 0.000, 0.830], [0.000, 0.500, 0.830], [0.500, 0.500, 0.719], [0.500, 0.500, 0.281], [0.000, 0.000, 0.000], [0.000, 0.000, 0.500]],
  "raw_formation_energy_mev_per_atom": -778,
  "total_magnetization_mub_per_fu": 0.00
}